1.
Entry from the Alexandria database: crystalline MnInIr3 at its relaxed geometry (PBE-GGA).

abc: 4.507 4.507 4.507
angles: 90.00 90.00 90.00
Fractional positions:
Ir (0.000, 0.500, 0.000)
Ir (0.000, 0.000, 0.500)
Ir (0.500, 0.000, 0.000)
Mn (0.000, 0.000, 0.000)
In (0.500, 0.500, 0.500)

Its crystal system is cubic. The value obtained for the formation energy is 1.076 eV per atom. Its symmetry is No. 221. As for the energy above the most stable polymorph in this dataset: 0.000 eV/atom.

---

2.
Entry from the Alexandria database: crystalline Mn4InIr at its relaxed geometry (PBE-GGA).

abc: 4.833 4.833 4.833
angles: 60.00 60.00 60.00
Fractional positions:
Mn (0.878, 0.374, 0.374)
Mn (0.374, 0.374, 0.878)
Mn (0.374, 0.878, 0.374)
Mn (0.374, 0.374, 0.374)
In (0.750, 0.750, 0.750)
Ir (0.000, 0.000, 0.000)

Its crystal system is cubic. The value obtained for the formation energy is 0.197 eV per atom. Its symmetry is No. 216.

---

3.
Entry from the Alexandria database: crystalline MnIn4Ir at its relaxed geometry (PBE-GGA).

abc: 5.735 5.735 5.735
angles: 60.00 60.00 60.00
Fractional positions:
Mn (0.000, 0.000, 0.000)
In (0.874, 0.375, 0.375)
In (0.375, 0.375, 0.874)
In (0.375, 0.874, 0.375)
In (0.375, 0.375, 0.375)
Ir (0.750, 0.750, 0.750)

Its crystal system is cubic. The value obtained for the formation energy is 0.777 eV per atom. Its symmetry is No. 216.

---

4.
Entry from the Alexandria database: crystalline MnInIr2 at its relaxed geometry (PBE-GGA).

abc: 4.692 4.692 4.960
angles: 79.14 79.14 35.88
Fractional positions:
In (0.250, 0.250, 0.250)
Ir (0.006, 0.006, 0.980)
Ir (0.494, 0.494, 0.520)
Mn (0.750, 0.750, 0.750)

Its crystal system is monoclinic. The value obtained for the formation energy is 0.001 eV per atom. Its symmetry is No. 12.

---

5.
Entry from the Alexandria database: crystalline MnInIr2 at its relaxed geometry (PBE-GGA).

abc: 4.571 4.571 3.036
angles: 90.00 90.00 98.39
Fractional positions:
In (0.000, 0.500, 0.500)
Ir (0.000, 0.000, 0.000)
Ir (0.500, 0.500, 0.000)
Mn (0.500, 0.000, 0.500)

Its crystal system is orthorhombic. The value obtained for the formation energy is -0.042 eV per atom. Its symmetry is No. 65.

---

6.
Entry from the Alexandria database: crystalline MnInIr2 at its relaxed geometry (PBE-GGA).

abc: 2.963 4.764 4.487
angles: 90.00 90.00 90.00
Fractional positions:
In (0.000, 0.500, 0.500)
Ir (0.000, 0.000, 0.000)
Ir (0.500, 0.500, 0.000)
Mn (0.500, 0.000, 0.500)

Its crystal system is orthorhombic. The value obtained for the formation energy is 0.154 eV per atom. Its symmetry is No. 47.

---

7.
Entry from the Alexandria database: crystalline Mn2InIr2 at its relaxed geometry (PBE-GGA).

abc: 7.342 7.342 2.772
angles: 90.00 90.00 90.00
Fractional positions:
Ir (0.177, 0.677, 0.500)
Ir (0.677, 0.823, 0.500)
Ir (0.823, 0.323, 0.500)
Ir (0.323, 0.177, 0.500)
Mn (0.388, 0.888, 0.000)
Mn (0.888, 0.612, 0.000)
Mn (0.612, 0.112, 0.000)
Mn (0.112, 0.388, 0.000)
In (0.000, 0.000, 0.000)
In (0.500, 0.500, 0.000)

Its crystal system is tetragonal. The value obtained for the formation energy is 0.124 eV per atom. Its symmetry is No. 127. As for the energy above the most stable polymorph in this dataset: 0.000 eV/atom.

---

8.
Entry from the Alexandria database: crystalline MnInIr2 at its relaxed geometry (PBE-GGA).

abc: 4.885 4.885 4.738
angles: 79.61 79.61 34.65
Fractional positions:
In (0.254, 0.254, 0.237)
Ir (0.006, 0.006, 0.996)
Ir (0.747, 0.747, 0.733)
Mn (0.492, 0.492, 0.534)

Its crystal system is monoclinic. The value obtained for the formation energy is 0.033 eV per atom. Its symmetry is No. 8.

---

Q: Which formula does entry 5 have?
A: MnInIr2